The following is a PBE-GGA calculation of a relaxed structure of BaSr2LaSb, from the Alexandria database.

Geometry as POSCAR:
```
BaSr2LaSb
1.0
-4.712 -4.323 -0.834
1.756 -2.927 5.250
-4.014 3.717 3.415
Sb La Sr Ba
1 1 2 1
Cartesian
0.000 0.000 0.000
0.878 -1.463 2.625
-2.007 1.858 1.707
-2.356 -2.161 -0.417
-3.485 -1.766 3.915
```

- calculated total energy (eV/atom) = -3.124
- formation energy without anion corrections (eV/atom) = -0.256
- D(E_F) (states/eV per cell) = 10.0
- total magnetization (μB/f.u.) = 0.012